ZrSc2VF | PBE+U | relaxed

abc: 5.313 4.887 5.313
angles: 90.00 90.00 90.00
Last column: magnetic moment on the atom in μB.
Fractional coordinates of all 5 atoms:
Sc 0.000 0.000 0.500  -0.12
Sc 0.500 0.000 0.000  -0.09
Zr 0.000 0.000 0.000  -0.19
F 0.500 0.500 0.500  0.02
V 0.000 0.500 0.000  2.49

Computed properties:
Its space group is No. 123. Its density of states at the Fermi level is 3.53 states/eV/cell. The total energy comes out at -5.191 eV per atom.